Crystalline EuScIn at its relaxed geometry. Source: the Alexandria database, functional GGA-PBE.

Unit cell a=6.669 b=6.669 c=6.669 alpha=147.54 beta=147.54 gamma=46.56
Fractional coordinates of all 3 atoms:
1 Eu 0.000 0.000 0.000
2 Sc 0.695 0.695 0.000
3 In 0.321 0.321 0.000

- Formation energy: -0.215 eV per atom